Below is crystalline KTe2As2 at its relaxed geometry, with properties calculated at the PBE level.

Properties
Its total moment is 0.00 μB per formula unit. As for the raw total energy: -3.503 eV per atom. The theoretical density comes out at 4.77 Mg/m³.

Structure (CIF):
```
data_KTe2As2
_chemical_formula_sum 'K2 Te4 As4'
_cell_length_a 8.952
_cell_length_b 8.952
_cell_length_c 3.855
_cell_angle_alpha 90.00
_cell_angle_beta 90.00
_cell_angle_gamma 90.00
_symmetry_space_group_name_H-M 'P 4/m b m'
_symmetry_Int_Tables_number 127
_symmetry_space_group_name_Hall '-P 4 2ab'
loop_
_atom_site_label
_atom_site_fract_x
_atom_site_fract_y
_atom_site_fract_z
K1 0.000 0.000 0.000
Te1 0.210 0.290 0.500
As1 0.143 0.643 0.000
```